The following is a PBE calculation of an optimized crystal structure of AlCuBi2, from Alexandria.

Properties
Symmetry: Fm-3m (225)
Calculated formation energy (eV per atom): 0.3506
N(E_F) (states/eV/f.u.): 3.3

Cell lengths 5.094, 5.094, 5.094 Å; angles 60.00, 60.00, 60.00 degrees
Atoms (fractional coordinates):
Al (0.000, 0.000, 0.000)
Cu (0.500, 0.500, 0.500)
Bi (0.250, 0.250, 0.250)
Bi (0.750, 0.750, 0.750)



The following is a PBE calculation of an optimized crystal structure of K2BaSr, from Alexandria.

Properties
Symmetry: C2/m (12)
Calculated formation energy (eV per atom): 0.0924
N(E_F) (states/eV/f.u.): 4.0

Cell lengths 8.063, 8.063, 7.671 Å; angles 99.09, 99.09, 31.79 degrees
Atoms (fractional coordinates):
K (0.247, 0.247, 0.246)
K (0.753, 0.753, 0.754)
Ba (0.000, 0.000, 0.500)
Sr (0.500, 0.500, 0.000)



The following is a PBE calculation of an optimized crystal structure of CdInP2, from Alexandria.

Properties
Symmetry: Fm-3m (225)
Calculated formation energy (eV per atom): 0.4557
N(E_F) (states/eV/f.u.): 2.4

Cell lengths 4.824, 4.824, 4.824 Å; angles 60.00, 60.00, 60.00 degrees
Atoms (fractional coordinates):
Cd (0.000, 0.000, 0.000)
In (0.500, 0.500, 0.500)
P (0.250, 0.250, 0.250)
P (0.750, 0.750, 0.750)



The following is a PBE calculation of an optimized crystal structure of Sr2Si4Ir3Pd, from Alexandria.

Properties
Symmetry: P-4m2 (115)
Uncorrected formation energy (eV per formula unit): -7.74
N(E_F) (states/eV/f.u.): 5.7

Cell lengths 4.270, 4.270, 9.951 Å; angles 90.00, 90.00, 90.00 degrees
Atoms (fractional coordinates):
Sr (0.000, 0.500, 0.246)
Sr (0.500, 0.000, 0.754)
Si (0.000, 0.000, 0.000)
Si (0.000, 0.500, 0.627)
Si (0.500, 0.000, 0.373)
Si (0.500, 0.500, 0.000)
Ir (0.000, 0.500, 0.877)
Ir (0.500, 0.000, 0.123)
Ir (0.500, 0.500, 0.500)
Pd (0.000, 0.000, 0.500)



- Among the records above, which one has the highest N(E_F)?
  Sr2Si4Ir3Pd